# 1
Ca2ScPt (meta-GGA SCAN, single point on PBEsol structure); calculated density = 5.170 g/cm³; energy of formation = -1.64 eV/f.u.; energy = -105.40 eV per cell; excess energy over the best structure of this formula in the dataset = 0.0000 eV per atom; spin magnetization = 0.9 μB per formula unit
1.0
3.411 0.000 0.000
0.000 3.411 0.000
0.000 0.000 8.840
Ca Sc Pt
2 1 1
Direct
0.000 0.000 0.191
0.000 0.000 0.809
0.500 0.500 0.500
0.500 0.500 0.000

***

# 2
MgTlIn2 (meta-GGA SCAN, single point on PBEsol structure); calculated density = 7.613 g/cm³; energy of formation = -0.03 eV/f.u.; energy = -144.13 eV per cell; spin magnetization = 0.0 μB per formula unit
1.0
-1.839 2.576 5.275
1.839 -2.576 5.275
1.839 2.576 -5.275
Mg Tl In
1 1 2
Direct
0.000 0.000 0.000
0.500 0.500 0.000
0.242 0.742 0.500
0.758 0.258 0.500

***

# 3
Li4Co3Ni5O16 (meta-GGA SCAN, single point on PBEsol structure); formation energy (no corrections) = -1.466 eV/atom; calculated density = 5.140 g/cm³; energy = -283.08 eV per cell; spin magnetization = 1.0 μB per formula unit
1.0
4.822 -2.788 0.000
4.822 2.788 0.000
-0.017 0.000 9.060
Li Co Ni O
4 3 5 16
Direct
0.000 0.000 0.000
0.004 0.004 0.501
0.336 0.336 0.903
0.672 0.672 0.404
0.173 0.173 0.218
0.343 0.831 0.717
0.831 0.343 0.717
0.173 0.665 0.219
0.336 0.336 0.494
0.665 0.173 0.219
0.668 0.668 0.992
0.833 0.833 0.718
0.003 0.003 0.811
0.004 0.004 0.311
0.044 0.481 0.343
0.166 0.166 0.606
0.167 0.677 0.603
0.327 0.841 0.103
0.337 0.337 0.116
0.481 0.044 0.343
0.484 0.484 0.347
0.521 0.521 0.839
0.521 0.962 0.843
0.670 0.670 0.615
0.677 0.167 0.603
0.837 0.837 0.105
0.841 0.327 0.103
0.962 0.521 0.843

***

# 4
SiHgCl2 (meta-GGA SCAN, single point on PBEsol structure); formation energy (no corrections) = 0.196 eV/atom; calculated density = 5.939 g/cm³; energy = -93.36 eV per cell; excess energy over the best structure of this formula in the dataset = 0.5535 eV per atom; spin magnetization = 0.0 μB per formula unit
1.0
0.000 3.473 3.473
3.473 0.000 3.473
3.473 3.473 0.000
Si Hg Cl
1 1 2
Direct
0.000 0.000 0.000
0.500 0.500 0.500
0.250 0.250 0.250
0.750 0.750 0.750

***

# 5
Mn3Mo (meta-GGA SCAN, single point on PBEsol structure); calculated density = 9.222 g/cm³; energy of formation = 1.27 eV/f.u.; energy = -88.38 eV per cell; spin magnetization = 3.6 μB per formula unit
1.0
2.571 0.000 0.000
-1.285 2.226 0.000
0.000 0.000 8.203
Mn Mo
3 1
Direct
0.000 0.000 0.000
0.333 0.667 0.228
0.333 0.667 0.772
0.000 0.000 0.500

***

# 6
Bi (meta-GGA SCAN, single point on PBEsol structure); calculated density = 10.709 g/cm³; energy of formation = 0.06 eV/f.u.; energy = -157.05 eV per cell; excess energy over the best structure of this formula in the dataset = 0.0555 eV per atom; spin magnetization = 0.0 μB per formula unit
1.0
3.526 -3.135 0.000
3.526 3.135 0.000
-1.535 0.000 2.932
Bi
2
Direct
0.250 0.250 0.117
0.750 0.750 0.883